First-principles (GGA-PBEsol) data for a relaxed structure of LiNiPO4, as listed in Alexandria via LeMat-Bulk.

a b c (Å): 7.1439 5.3271 6.1398
angles (deg): 76.71 46.53 56.76
With the nearest neighbours (Å) after each atom.
Positions (direct):
Li  0.0000  0.0000  0.0000  4 O 2.03-2.26
Li  0.2500  0.2500  0.2500  4 O 2.03-2.26
Ni  0.6307  0.6307  0.3693  4 O 1.97-2.08
Ni  0.8807  0.8807  0.6193  4 O 1.97-2.08
P  0.3128  0.3128  0.6872  4 O 1.54-1.56
P  0.5628  0.5628  0.9372  4 O 1.54-1.56
O  0.1083  0.3189  0.0349  1 P 1.54
O  0.1948  0.6478  0.6414  1 P 1.56
O  0.2151  0.7121  0.1417  1 P 1.54
O  0.3189  0.1083  0.5379  1 P 1.54
O  0.6086  0.7340  0.0552  1 P 1.56
O  0.6478  0.1948  0.5160  1 P 1.56
O  0.7121  0.2151  0.9311  1 P 1.54
O  0.7340  0.6086  0.6022  1 P 1.56

The energy relative to the elements, uncorrected comes out at -1774 meV/atom. For the density of states at the Fermi level, the calculation gives 0.242 states/eV per atom. The value obtained for the offset from the most stable computed form is 75 meV per atom. The total energy comes out at -6.762 eV per atom.

First-principles (GGA-PBEsol) data for a relaxed structure of LiNiPO4, as listed in Alexandria via LeMat-Bulk.

a b c (Å): 5.5705 5.5705 7.8827
angles (deg): 90.00 90.00 90.00
With the nearest neighbours (Å) after each atom.
Positions (direct):
Li  0.0000  0.2355  0.0000  6 O 2.03-2.11
Li  0.0000  0.7645  0.5000  6 O 2.03-2.11
Li  0.2355  0.0000  0.2500  6 O 2.03-2.11
Li  0.7645  0.0000  0.7500  6 O 2.03-2.11
Ni  0.2408  0.5000  0.2500  6 O 2.02-2.06
Ni  0.5000  0.2408  0.0000  6 O 2.02-2.06
Ni  0.5000  0.7592  0.5000  6 O 2.02-2.06
Ni  0.7592  0.5000  0.7500  6 O 2.02-2.06
P  0.2525  0.2525  0.6250  4 O 1.55-1.58
P  0.2525  0.7475  0.8750  4 O 1.55-1.58
P  0.7475  0.2525  0.3750  4 O 1.55-1.58
P  0.7475  0.7475  0.1250  4 O 1.55-1.58
O  0.0243  0.2540  0.7373  1 P 1.55
O  0.0243  0.7460  0.7627  1 P 1.55
O  0.2540  0.0243  0.5127  1 P 1.55
O  0.2540  0.4829  0.5091  1 P 1.58
O  0.2540  0.5171  0.9909  1 P 1.58
O  0.2540  0.9757  0.9873  1 P 1.55
O  0.4829  0.2540  0.7409  1 P 1.58
O  0.4829  0.7460  0.7591  1 P 1.58
O  0.5171  0.2540  0.2591  1 P 1.58
O  0.5171  0.7460  0.2409  1 P 1.58
O  0.7460  0.0243  0.4873  1 P 1.55
O  0.7460  0.4829  0.4909  1 P 1.58
O  0.7460  0.5171  0.0091  1 P 1.58
O  0.7460  0.9757  0.0127  1 P 1.55
O  0.9757  0.2540  0.2627  1 P 1.55
O  0.9757  0.7460  0.2373  1 P 1.55

The energy relative to the elements, uncorrected comes out at -1816 meV/atom. The value obtained for the offset from the most stable computed form is 33 meV per atom. The total energy comes out at -6.804 eV per atom.

First-principles (GGA-PBEsol) data for a relaxed structure of Li5Ni6P8O28, as listed in Alexandria via LeMat-Bulk.

a b c (Å): 6.2408 8.2873 9.8185
angles (deg): 107.78 90.74 92.39
With the nearest neighbours (Å) after each atom.
Positions (direct):
Li  0.0000  0.0000  0.0000  4 O 1.95-2.01
Li  0.4024  0.8881  0.3769  4 O 1.92-2.07
Li  0.4842  0.3419  0.8946  5 O 1.98-2.16
Li  0.5158  0.6581  0.1054  5 O 1.98-2.16
Li  0.5976  0.1119  0.6231  4 O 1.92-2.07
Ni  0.0000  0.0000  0.5000  6 O 1.99-2.09
Ni  0.1421  0.6143  0.4387  6 O 1.98-2.21
Ni  0.1919  0.6108  0.8571  5 O 1.96-2.08
Ni  0.5000  0.0000  0.0000  4 O 1.98-2.11
Ni  0.8081  0.3892  0.1429  5 O 1.96-2.08
Ni  0.8579  0.3857  0.5613  6 O 1.98-2.21
P  0.0229  0.7419  0.1802  4 O 1.51-1.61
P  0.2377  0.9590  0.7617  4 O 1.52-1.63
P  0.3140  0.3212  0.1901  4 O 1.52-1.62
P  0.3503  0.2955  0.4873  4 O 1.52-1.61
P  0.6497  0.7045  0.5127  4 O 1.52-1.61
P  0.6860  0.6788  0.8099  4 O 1.52-1.62
P  0.7623  0.0410  0.2383  4 O 1.52-1.63
P  0.9771  0.2581  0.8198  4 O 1.51-1.61
O  0.0415  0.0772  0.8328  2 P 1.61-1.63
O  0.1025  0.7910  0.3386  1 P 1.55
O  0.1087  0.4183  0.2391  1 P 1.54
O  0.1601  0.8604  0.6100  1 P 1.53
O  0.1732  0.4248  0.5328  1 P 1.55
O  0.1805  0.3710  0.8496  1 P 1.52
O  0.2036  0.6877  0.0776  1 P 1.51
O  0.2505  0.8519  0.8656  1 P 1.55
O  0.2624  0.1417  0.0918  1 P 1.52
O  0.2795  0.1121  0.4755  1 P 1.53
O  0.4280  0.3016  0.3333  2 P 1.61-1.62
O  0.4371  0.0753  0.7779  1 P 1.52
O  0.4512  0.6593  0.4148  1 P 1.52
O  0.4803  0.4150  0.1249  1 P 1.53
O  0.5197  0.5850  0.8751  1 P 1.53
O  0.5488  0.3407  0.5852  1 P 1.52
O  0.5629  0.9247  0.2221  1 P 1.52
O  0.5720  0.6984  0.6667  2 P 1.61-1.62
O  0.7205  0.8879  0.5245  1 P 1.53
O  0.7376  0.8583  0.9082  1 P 1.52
O  0.7495  0.1481  0.1344  1 P 1.55
O  0.7964  0.3123  0.9224  1 P 1.51
O  0.8195  0.6290  0.1504  1 P 1.52
O  0.8268  0.5752  0.4672  1 P 1.55
O  0.8399  0.1396  0.3900  1 P 1.53
O  0.8913  0.5817  0.7609  1 P 1.54
O  0.8975  0.2090  0.6614  1 P 1.55
O  0.9585  0.9228  0.1672  2 P 1.61-1.63

The energy relative to the elements, uncorrected comes out at -1856 meV/atom. For the density of states at the Fermi level, the calculation gives 0.181 states/eV per atom. The total energy comes out at -6.965 eV per atom.

First-principles (GGA-PBEsol) data for a relaxed structure of LiNiPO4, as listed in Alexandria via LeMat-Bulk.

a b c (Å): 8.2966 7.1408 16.5697
angles (deg): 90.00 120.05 90.00
With the nearest neighbours (Å) after each atom.
Positions (direct):
Li  0.0154  0.1693  0.0904  4 O 1.89-1.98
Li  0.0154  0.3307  0.5904  4 O 1.89-1.98
Li  0.3188  0.1653  0.4165  4 O 1.90-2.03
Li  0.3188  0.3347  0.9165  4 O 1.90-2.03
Li  0.3352  0.6614  0.2597  4 O 1.91-1.98
Li  0.3352  0.8386  0.7597  4 O 1.91-1.98
Li  0.6648  0.1614  0.2403  4 O 1.91-1.98
Li  0.6648  0.3386  0.7403  4 O 1.91-1.98
Li  0.6812  0.6653  0.0835  4 O 1.90-2.03
Li  0.6812  0.8347  0.5835  4 O 1.90-2.03
Li  0.9846  0.6693  0.4096  4 O 1.89-1.98
Li  0.9846  0.8307  0.9096  4 O 1.89-1.98
Ni  0.0023  0.5796  0.7497  3 O 1.93-1.95
Ni  0.0023  0.9204  0.2497  3 O 1.93-1.95
Ni  0.3301  0.0533  0.0815  6 O 1.98-2.19
Ni  0.3301  0.4467  0.5815  6 O 1.98-2.19
Ni  0.3367  0.0542  0.5856  6 O 1.99-2.20
Ni  0.3367  0.4458  0.0856  6 O 1.99-2.20
Ni  0.6633  0.5542  0.9144  6 O 1.99-2.20
Ni  0.6633  0.9458  0.4144  6 O 1.99-2.20
Ni  0.6699  0.5533  0.4185  6 O 1.98-2.19
Ni  0.6699  0.9467  0.9185  6 O 1.98-2.19
Ni  0.9977  0.0796  0.7503  3 O 1.93-1.95
Ni  0.9977  0.4204  0.2503  3 O 1.93-1.95
P  0.0413  0.7505  0.0912  4 O 1.53-1.57
P  0.0413  0.7495  0.5912  4 O 1.53-1.57
P  0.3201  0.7504  0.4301  4 O 1.53-1.57
P  0.3201  0.7496  0.9301  4 O 1.53-1.57
P  0.3575  0.2466  0.7696  4 O 1.53-1.57
P  0.3575  0.2534  0.2696  4 O 1.53-1.57
P  0.6425  0.7466  0.7304  4 O 1.53-1.57
P  0.6425  0.7534  0.2304  4 O 1.53-1.57
P  0.6799  0.2504  0.0699  4 O 1.53-1.57
P  0.6799  0.2496  0.5699  4 O 1.53-1.57
P  0.9587  0.2505  0.4088  4 O 1.53-1.57
P  0.9587  0.2495  0.9088  4 O 1.53-1.57
O  0.0622  0.2435  0.3513  1 P 1.57
O  0.0622  0.2565  0.8513  1 P 1.57
O  0.1114  0.2349  0.5137  1 P 1.56
O  0.1114  0.2651  0.0137  1 P 1.56
O  0.1396  0.2439  0.7167  1 P 1.57
O  0.1396  0.2561  0.2167  1 P 1.57
O  0.1431  0.5606  0.6106  1 P 1.54
O  0.1431  0.9394  0.1106  1 P 1.54
O  0.1854  0.5920  0.1263  1 P 1.53
O  0.1854  0.9080  0.6263  1 P 1.53
O  0.2060  0.7485  0.3210  1 P 1.57
O  0.2060  0.7515  0.8210  1 P 1.57
O  0.2478  0.5890  0.4645  1 P 1.53
O  0.2478  0.9110  0.9645  1 P 1.53
O  0.2837  0.5629  0.9644  1 P 1.54
O  0.2837  0.9371  0.4644  1 P 1.54
O  0.4140  0.2466  0.1928  1 P 1.56
O  0.4140  0.2534  0.6928  1 P 1.56
O  0.4234  0.0829  0.3349  1 P 1.54
O  0.4234  0.4171  0.8349  1 P 1.54
O  0.4274  0.0667  0.8277  1 P 1.53
O  0.4274  0.4333  0.3277  1 P 1.53
O  0.4703  0.2348  0.0411  1 P 1.56
O  0.4703  0.2652  0.5411  1 P 1.56
O  0.5297  0.7348  0.4589  1 P 1.56
O  0.5297  0.7652  0.9589  1 P 1.56
O  0.5726  0.5667  0.6723  1 P 1.53
O  0.5726  0.9333  0.1723  1 P 1.53
O  0.5766  0.5829  0.1651  1 P 1.54
O  0.5766  0.9171  0.6651  1 P 1.54
O  0.5860  0.7466  0.3072  1 P 1.56
O  0.5860  0.7534  0.8072  1 P 1.56
O  0.7163  0.0629  0.5356  1 P 1.54
O  0.7163  0.4371  0.0356  1 P 1.54
O  0.7522  0.0890  0.0355  1 P 1.53
O  0.7522  0.4110  0.5355  1 P 1.53
O  0.7940  0.2485  0.1790  1 P 1.57
O  0.7940  0.2515  0.6790  1 P 1.57
O  0.8146  0.0920  0.3737  1 P 1.53
O  0.8146  0.4080  0.8737  1 P 1.53
O  0.8569  0.0606  0.8894  1 P 1.54
O  0.8569  0.4394  0.3894  1 P 1.54
O  0.8604  0.7439  0.7833  1 P 1.57
O  0.8604  0.7561  0.2833  1 P 1.57
O  0.8886  0.7349  0.9863  1 P 1.56
O  0.8886  0.7651  0.4863  1 P 1.56
O  0.9378  0.7435  0.1487  1 P 1.57
O  0.9378  0.7565  0.6487  1 P 1.57

The energy relative to the elements, uncorrected comes out at -1786 meV/atom. For the density of states at the Fermi level, the calculation gives 0.029 states/eV per atom. The value obtained for the offset from the most stable computed form is 64 meV per atom. The total energy comes out at -6.773 eV per atom.

First-principles (GGA-PBEsol) data for a relaxed structure of LiNiPO4, as listed in Alexandria via LeMat-Bulk.

a b c (Å): 9.5550 4.7553 14.1826
angles (deg): 90.00 90.00 90.00
With the nearest neighbours (Å) after each atom.
Positions (direct):
Li  0.0268  0.0536  0.0000  4 O 1.96-1.99
Li  0.2297  0.4625  0.2487  4 O 1.92-1.98
Li  0.2703  0.4625  0.7487  4 O 1.92-1.98
Li  0.4732  0.0536  0.5000  4 O 1.96-1.99
Li  0.5268  0.9464  0.0000  4 O 1.96-1.99
Li  0.7297  0.5375  0.2487  4 O 1.92-1.98
Li  0.7703  0.5375  0.7487  4 O 1.92-1.98
Li  0.9732  0.9464  0.5000  4 O 1.96-1.99
Ni  0.0275  0.9686  0.2504  4 O 1.93-1.96
Ni  0.2338  0.4748  0.4989  4 O 1.93-1.96
Ni  0.2662  0.4748  0.9989  4 O 1.93-1.96
Ni  0.4725  0.9686  0.7504  4 O 1.93-1.96
Ni  0.5275  0.0314  0.2504  4 O 1.93-1.96
Ni  0.7338  0.5252  0.4989  4 O 1.93-1.96
Ni  0.7662  0.5252  0.9989  4 O 1.93-1.96
Ni  0.9725  0.0314  0.7504  4 O 1.93-1.96
P  0.0235  0.5511  0.8747  4 O 1.55
P  0.2120  0.9568  0.6248  4 O 1.55-1.56
P  0.2880  0.9568  0.1248  4 O 1.55-1.56
P  0.4765  0.5511  0.3747  4 O 1.55
P  0.5235  0.4489  0.8747  4 O 1.55
P  0.7120  0.0432  0.6248  4 O 1.55-1.56
P  0.7880  0.0432  0.1248  4 O 1.55-1.56
P  0.9765  0.4489  0.3747  4 O 1.55
O  0.0018  0.1267  0.3750  1 P 1.55
O  0.0417  0.5699  0.4665  1 P 1.55
O  0.0419  0.5709  0.2834  1 P 1.55
O  0.0539  0.0306  0.6255  1 P 1.55
O  0.1813  0.4775  0.8744  1 P 1.55
O  0.2191  0.0709  0.2161  1 P 1.55
O  0.2255  0.0845  0.0330  1 P 1.56
O  0.2360  0.6346  0.6242  1 P 1.55
O  0.2640  0.6346  0.1242  1 P 1.55
O  0.2745  0.0845  0.5330  1 P 1.56
O  0.2809  0.0709  0.7161  1 P 1.55
O  0.3187  0.4775  0.3744  1 P 1.55
O  0.4461  0.0306  0.1255  1 P 1.55
O  0.4583  0.5699  0.9665  1 P 1.55
O  0.4581  0.5709  0.7834  1 P 1.55
O  0.4982  0.1267  0.8750  1 P 1.55
O  0.5018  0.8733  0.3750  1 P 1.55
O  0.5419  0.4291  0.2834  1 P 1.55
O  0.5417  0.4301  0.4665  1 P 1.55
O  0.5539  0.9694  0.6255  1 P 1.55
O  0.6813  0.5225  0.8744  1 P 1.55
O  0.7191  0.9291  0.2161  1 P 1.55
O  0.7255  0.9155  0.0330  1 P 1.56
O  0.7360  0.3654  0.6242  1 P 1.55
O  0.7640  0.3654  0.1242  1 P 1.55
O  0.7745  0.9155  0.5330  1 P 1.56
O  0.7809  0.9291  0.7161  1 P 1.55
O  0.8187  0.5225  0.3744  1 P 1.55
O  0.9461  0.9694  0.1255  1 P 1.55
O  0.9581  0.4291  0.7834  1 P 1.55
O  0.9583  0.4301  0.9665  1 P 1.55
O  0.9982  0.8733  0.8750  1 P 1.55

The energy relative to the elements, uncorrected comes out at -1791 meV/atom. For the density of states at the Fermi level, the calculation gives 0.185 states/eV per atom. The value obtained for the offset from the most stable computed form is 59 meV per atom. The total energy comes out at -6.778 eV per atom.